Record 1
# RbSc3Pt (meta-GGA SCAN, PBEsol geometry)
data_RbSc3Pt
_chemical_formula_sum 'Rb1 Sc3 Pt1'
_cell_length_a 4.765
_cell_length_b 4.765
_cell_length_c 4.765
_cell_angle_alpha 90.00
_cell_angle_beta 90.00
_cell_angle_gamma 90.00
_space_group_name_H-M_alt 'P 1'
_space_group_IT_number 1
loop_
_space_group_symop_operation_xyz
'x,y,z'
loop_
_atom_site_label
_atom_site_fract_x
_atom_site_fract_y
_atom_site_fract_z
Rb1 0.000 0.000 0.000
Sc1 0.000 0.000 0.500
Sc2 0.000 0.500 0.000
Sc3 0.500 0.000 0.000
Pt1 0.500 0.500 0.500
# - DOS at the Fermi energy (states/eV/f.u.) = 2.7
# - crystal system = cubic
# - formation energy from the elements (eV/atom) = 1.405
# - symmetry = Pm-3m, No. 221



Record 2
# Rb2PtSe2 (meta-GGA SCAN, PBEsol geometry)
data_Rb2PtSe2
_chemical_formula_sum 'Rb2 Pt1 Se2'
_cell_length_a 6.558
_cell_length_b 6.558
_cell_length_c 6.558
_cell_angle_alpha 146.45
_cell_angle_beta 110.59
_cell_angle_gamma 79.33
_space_group_name_H-M_alt 'P 1'
_space_group_IT_number 1
loop_
_space_group_symop_operation_xyz
'x,y,z'
loop_
_atom_site_label
_atom_site_fract_x
_atom_site_fract_y
_atom_site_fract_z
Rb1 0.198 0.198 0.000
Rb2 0.802 0.802 0.000
Pt1 0.500 0.000 0.500
Se1 0.286 0.500 0.786
Se2 0.714 0.500 0.214
# - crystal system = orthorhombic
# - formation energy without anion corrections (eV per atom) = -1.06
# - symmetry = Immm, No. 71



Record 3
# RbSnPt3 (meta-GGA SCAN, PBEsol geometry)
data_RbSnPt3
_chemical_formula_sum 'Rb1 Sn1 Pt3'
_cell_length_a 5.023
_cell_length_b 5.023
_cell_length_c 5.023
_cell_angle_alpha 90.00
_cell_angle_beta 90.00
_cell_angle_gamma 90.00
_space_group_name_H-M_alt 'P 1'
_space_group_IT_number 1
loop_
_space_group_symop_operation_xyz
'x,y,z'
loop_
_atom_site_label
_atom_site_fract_x
_atom_site_fract_y
_atom_site_fract_z
Rb1 0.000 0.000 0.000
Sn1 0.500 0.500 0.500
Pt1 0.000 0.500 0.500
Pt2 0.500 0.000 0.500
Pt3 0.500 0.500 0.000
# - DOS at the Fermi energy (states/eV/f.u.) = 5.0
# - crystal system = cubic
# - formation energy from the elements (eV/atom) = 0.517
# - symmetry = Pm-3m, No. 221



Record 4
# Rb2SrZrPt (meta-GGA SCAN, PBEsol geometry)
data_Rb2SrZrPt
_chemical_formula_sum 'Rb2 Sr1 Zr1 Pt1'
_cell_length_a 5.957
_cell_length_b 5.957
_cell_length_c 6.270
_cell_angle_alpha 90.00
_cell_angle_beta 90.00
_cell_angle_gamma 90.00
_space_group_name_H-M_alt 'P 1'
_space_group_IT_number 1
loop_
_space_group_symop_operation_xyz
'x,y,z'
loop_
_atom_site_label
_atom_site_fract_x
_atom_site_fract_y
_atom_site_fract_z
Rb1 0.000 0.500 0.000
Rb2 0.500 0.000 0.000
Sr1 0.000 0.000 0.500
Zr1 0.000 0.000 0.000
Pt1 0.500 0.500 0.500
# - DOS at the Fermi energy (states/eV/f.u.) = 2.5
# - crystal system = tetragonal
# - formation energy from the elements (eV/atom) = 1.442
# - symmetry = P4/mmm, No. 123



Record 5
# RbTa3Pt (meta-GGA SCAN, PBEsol geometry)
data_RbTa3Pt
_chemical_formula_sum 'Rb1 Ta3 Pt1'
_cell_length_a 4.996
_cell_length_b 4.996
_cell_length_c 4.996
_cell_angle_alpha 90.00
_cell_angle_beta 90.00
_cell_angle_gamma 90.00
_space_group_name_H-M_alt 'P 1'
_space_group_IT_number 1
loop_
_space_group_symop_operation_xyz
'x,y,z'
loop_
_atom_site_label
_atom_site_fract_x
_atom_site_fract_y
_atom_site_fract_z
Rb1 0.000 0.000 0.000
Ta1 0.000 0.500 0.500
Ta2 0.500 0.000 0.500
Ta3 0.500 0.500 0.000
Pt1 0.500 0.500 0.500
# - DOS at the Fermi energy (states/eV/f.u.) = 5.0
# - crystal system = cubic
# - formation energy from the elements (eV/atom) = 1.455
# - symmetry = Pm-3m, No. 221



Record 6
# Rb3TcPt (meta-GGA SCAN, PBEsol geometry)
data_Rb3TcPt
_chemical_formula_sum 'Rb3 Tc1 Pt1'
_cell_length_a 6.088
_cell_length_b 6.088
_cell_length_c 6.088
_cell_angle_alpha 90.00
_cell_angle_beta 90.00
_cell_angle_gamma 90.00
_space_group_name_H-M_alt 'P 1'
_space_group_IT_number 1
loop_
_space_group_symop_operation_xyz
'x,y,z'
loop_
_atom_site_label
_atom_site_fract_x
_atom_site_fract_y
_atom_site_fract_z
Rb1 0.000 0.000 0.500
Rb2 0.000 0.500 0.000
Rb3 0.500 0.000 0.000
Tc1 0.000 0.000 0.000
Pt1 0.500 0.500 0.500
# - DOS at the Fermi energy (states/eV/f.u.) = 9.2
# - crystal system = cubic
# - formation energy from the elements (eV/atom) = 1.516
# - symmetry = Pm-3m, No. 221



Record 7
# Rb2Te2Pt (meta-GGA SCAN, PBEsol geometry)
data_Rb2Te2Pt
_chemical_formula_sum 'Rb2 Te2 Pt1'
_cell_length_a 6.954
_cell_length_b 6.954
_cell_length_c 6.954
_cell_angle_alpha 146.58
_cell_angle_beta 110.01
_cell_angle_gamma 79.82
_space_group_name_H-M_alt 'P 1'
_space_group_IT_number 1
loop_
_space_group_symop_operation_xyz
'x,y,z'
loop_
_atom_site_label
_atom_site_fract_x
_atom_site_fract_y
_atom_site_fract_z
Rb1 0.203 0.203 0.000
Rb2 0.797 0.797 0.000
Te1 0.284 0.500 0.784
Te2 0.716 0.500 0.216
Pt1 0.500 0.000 0.500
# - crystal system = orthorhombic
# - formation energy without anion corrections (eV per atom) = -0.96
# - symmetry = Immm, No. 71



Record 8
# RbTi2Pt (meta-GGA SCAN, PBEsol geometry)
data_RbTi2Pt
_chemical_formula_sum 'Rb1 Ti2 Pt1'
_cell_length_a 4.674
_cell_length_b 4.674
_cell_length_c 4.674
_cell_angle_alpha 60.00
_cell_angle_beta 60.00
_cell_angle_gamma 60.00
_space_group_name_H-M_alt 'P 1'
_space_group_IT_number 1
loop_
_space_group_symop_operation_xyz
'x,y,z'
loop_
_atom_site_label
_atom_site_fract_x
_atom_site_fract_y
_atom_site_fract_z
Rb1 0.000 0.000 0.000
Ti1 0.250 0.250 0.250
Ti2 0.750 0.750 0.750
Pt1 0.500 0.500 0.500
# - DOS at the Fermi energy (states/eV/f.u.) = 4.3
# - crystal system = cubic
# - formation energy from the elements (eV/atom) = 0.498
# - symmetry = Fm-3m, No. 225



Record 9
# Rb3TiPt (meta-GGA SCAN, PBEsol geometry)
data_Rb3TiPt
_chemical_formula_sum 'Rb3 Ti1 Pt1'
_cell_length_a 6.100
_cell_length_b 6.100
_cell_length_c 6.100
_cell_angle_alpha 90.00
_cell_angle_beta 90.00
_cell_angle_gamma 90.00
_space_group_name_H-M_alt 'P 1'
_space_group_IT_number 1
loop_
_space_group_symop_operation_xyz
'x,y,z'
loop_
_atom_site_label
_atom_site_fract_x
_atom_site_fract_y
_atom_site_fract_z
Rb1 0.000 0.000 0.500
Rb2 0.000 0.500 0.000
Rb3 0.500 0.000 0.000
Ti1 0.000 0.000 0.000
Pt1 0.500 0.500 0.500
# - DOS at the Fermi energy (states/eV/f.u.) = 1.3
# - crystal system = cubic
# - formation energy from the elements (eV/atom) = 1.309
# - symmetry = Pm-3m, No. 221



Record 10
# RbTi3Pt (meta-GGA SCAN, PBEsol geometry)
data_RbTi3Pt
_chemical_formula_sum 'Rb1 Ti3 Pt1'
_cell_length_a 4.940
_cell_length_b 4.940
_cell_length_c 4.940
_cell_angle_alpha 90.00
_cell_angle_beta 90.00
_cell_angle_gamma 90.00
_space_group_name_H-M_alt 'P 1'
_space_group_IT_number 1
loop_
_space_group_symop_operation_xyz
'x,y,z'
loop_
_atom_site_label
_atom_site_fract_x
_atom_site_fract_y
_atom_site_fract_z
Rb1 0.000 0.000 0.000
Ti1 0.000 0.500 0.500
Ti2 0.500 0.000 0.500
Ti3 0.500 0.500 0.000
Pt1 0.500 0.500 0.500
# - DOS at the Fermi energy (states/eV/f.u.) = 8.6
# - crystal system = cubic
# - formation energy from the elements (eV/atom) = 0.451
# - symmetry = Pm-3m, No. 221



Record 11
# RbTiPtW2 (meta-GGA SCAN, PBEsol geometry)
data_RbTiPtW2
_chemical_formula_sum 'Rb1 Ti1 Pt1 W2'
_cell_length_a 4.591
_cell_length_b 4.591
_cell_length_c 5.057
_cell_angle_alpha 90.00
_cell_angle_beta 90.00
_cell_angle_gamma 90.00
_space_group_name_H-M_alt 'P 1'
_space_group_IT_number 1
loop_
_space_group_symop_operation_xyz
'x,y,z'
loop_
_atom_site_label
_atom_site_fract_x
_atom_site_fract_y
_atom_site_fract_z
Rb1 0.000 0.000 0.000
Ti1 0.000 0.000 0.500
Pt1 0.500 0.500 0.000
W1 0.000 0.500 0.500
W2 0.500 0.000 0.500
# - DOS at the Fermi energy (states/eV/f.u.) = 4.6
# - crystal system = tetragonal
# - formation energy from the elements (eV/atom) = 2.324
# - symmetry = P4/mmm, No. 123



Record 12
# Rb2PtW (meta-GGA SCAN, PBEsol geometry)
data_Rb2PtW
_chemical_formula_sum 'Rb2 Pt1 W1'
_cell_length_a 5.501
_cell_length_b 5.501
_cell_length_c 5.501
_cell_angle_alpha 60.00
_cell_angle_beta 60.00
_cell_angle_gamma 60.00
_space_group_name_H-M_alt 'P 1'
_space_group_IT_number 1
loop_
_space_group_symop_operation_xyz
'x,y,z'
loop_
_atom_site_label
_atom_site_fract_x
_atom_site_fract_y
_atom_site_fract_z
Rb1 0.250 0.250 0.250
Rb2 0.750 0.750 0.750
Pt1 0.000 0.000 0.000
W1 0.500 0.500 0.500
# - DOS at the Fermi energy (states/eV/f.u.) = 3.1
# - crystal system = cubic
# - formation energy from the elements (eV/atom) = 1.880
# - symmetry = Fm-3m, No. 225